# PmMgGa2Pd4 (PBE, relaxed)
# Energy of formation   -0.7329 eV per atom
# Final energy   -117.1 eV for the cell shown
data_PmMgGa2Pd4
_cell_length_a 4.3688
_cell_length_b 4.3688
_cell_length_c 25.7508
_cell_angle_alpha 90.00
_cell_angle_beta 90.00
_cell_angle_gamma 120.00
_space_group_name_H-M_alt 'R -3 m'
_space_group_IT_number 166
_space_group_name_Hall '-R 3 2"'
loop_
_atom_site_label
_atom_site_fract_x
_atom_site_fract_y
_atom_site_fract_z
Pm1 0.0000 0.0000 0.0000
Mg1 0.0000 0.0000 0.5000
Ga1 0.0000 0.0000 0.2402
Pd1 0.0000 0.0000 0.1298
Pd2 0.0000 0.0000 0.3998

# PmMgGa2Pd5 (PBE, relaxed)
# Energy of formation   -0.6467 eV per atom
# Final energy   -44.2 eV for the cell shown
data_PmMgGa2Pd5
_cell_length_a 4.189
_cell_length_b 4.189
_cell_length_c 9.310
_cell_angle_alpha 90.00
_cell_angle_beta 90.00
_cell_angle_gamma 90.00
_space_group_name_H-M_alt 'P 4/m m m'
_space_group_IT_number 123
_space_group_name_Hall '-P 4 2'
loop_
_atom_site_label
_atom_site_fract_x
_atom_site_fract_y
_atom_site_fract_z
Pm1 0.000 0.000 0.000
Mg1 0.000 0.000 0.500
Ga1 0.500 0.500 0.370
Pd1 0.000 0.500 0.229
Pd2 0.500 0.500 0.000

# PmMgGaPd3 (PBE, relaxed)
# Energy of formation   -0.5304 eV per atom
# Final energy   -112.5 eV for the cell shown
data_PmMgGaPd3
_cell_length_a 6.667
_cell_length_b 12.444
_cell_length_c 5.775
_cell_angle_alpha 90.00
_cell_angle_beta 90.00
_cell_angle_gamma 90.00
_space_group_name_H-M_alt 'C m c m'
_space_group_IT_number 63
_space_group_name_Hall '-C 2c 2'
loop_
_atom_site_label
_atom_site_fract_x
_atom_site_fract_y
_atom_site_fract_z
Pm1 0.000 0.190 0.250
Mg1 0.000 0.441 0.250
Ga1 0.000 0.136 0.750
Pd1 0.000 0.338 0.750
Pd2 0.204 0.000 0.000

# PmMgGaPd (PBE, relaxed)
# Energy of formation   -0.6091 eV per atom
# Final energy   -68.0 eV for the cell shown
data_PmMgGaPd
_cell_length_a 6.926
_cell_length_b 6.926
_cell_length_c 6.926
_cell_angle_alpha 90.00
_cell_angle_beta 90.00
_cell_angle_gamma 90.00
_space_group_name_H-M_alt 'F -4 3 m'
_space_group_IT_number 216
_space_group_name_Hall 'F -4 2 3'
loop_
_atom_site_label
_atom_site_fract_x
_atom_site_fract_y
_atom_site_fract_z
Pm1 0.000 0.000 0.000
Mg1 0.000 0.000 0.500
Ga1 0.250 0.250 0.250
Pd1 0.250 0.250 0.750

# PmMg2Ga2Pd2 (PBE, relaxed)
# Energy of formation   -0.6438 eV per atom
# Final energy   -86.7 eV for the cell shown
data_PmMg2Ga2Pd2
_cell_length_a 4.4740
_cell_length_b 4.4740
_cell_length_c 24.0298
_cell_angle_alpha 90.00
_cell_angle_beta 90.00
_cell_angle_gamma 120.00
_space_group_name_H-M_alt 'R -3 m'
_space_group_IT_number 166
_space_group_name_Hall '-R 3 2"'
loop_
_atom_site_label
_atom_site_fract_x
_atom_site_fract_y
_atom_site_fract_z
Pm1 0.0000 0.0000 0.0000
Mg1 0.0000 0.0000 0.1353
Ga1 0.0000 0.0000 0.4106
Pd1 0.0000 0.0000 0.2500

# PrMgGa2Pd5 (PBE, relaxed)
# Energy of formation   -0.6227 eV per atom
# Final energy   -44.0 eV for the cell shown
data_PrMgGa2Pd5
_cell_length_a 4.211
_cell_length_b 4.211
_cell_length_c 9.336
_cell_angle_alpha 90.00
_cell_angle_beta 90.00
_cell_angle_gamma 90.00
_space_group_name_H-M_alt 'P 4/m m m'
_space_group_IT_number 123
_space_group_name_Hall '-P 4 2'
loop_
_atom_site_label
_atom_site_fract_x
_atom_site_fract_y
_atom_site_fract_z
Pr1 0.000 0.000 0.000
Mg1 0.000 0.000 0.500
Ga1 0.500 0.500 0.370
Pd1 0.000 0.500 0.231
Pd2 0.500 0.500 0.000

# PrMgGa2Pd2 (PBE, relaxed)
# Energy of formation   -0.7363 eV per atom
# Final energy   -27.2 eV for the cell shown
data_PrMgGa2Pd2
_cell_length_a 4.4053
_cell_length_b 4.4053
_cell_length_c 6.9925
_cell_angle_alpha 90.00
_cell_angle_beta 90.00
_cell_angle_gamma 120.00
_space_group_name_H-M_alt 'P -3 m 1'
_space_group_IT_number 164
_space_group_name_Hall '-P 3 2"'
loop_
_atom_site_label
_atom_site_fract_x
_atom_site_fract_y
_atom_site_fract_z
Pr1 0.0000 0.0000 0.0000
Mg1 0.0000 0.0000 0.5000
Ga1 0.3333 0.6667 0.2726
Pd1 0.3333 0.6667 0.6562

# Pr2MgGa4Pd3 (PBE, relaxed)
# Energy of formation   -0.7168 eV per atom
# Final energy   -46.0 eV for the cell shown
data_Pr2MgGa4Pd3
_cell_length_a 4.275
_cell_length_b 4.275
_cell_length_c 11.071
_cell_angle_alpha 90.00
_cell_angle_beta 90.00
_cell_angle_gamma 90.00
_space_group_name_H-M_alt 'P -4 m 2'
_space_group_IT_number 115
_space_group_name_Hall 'P -4 -2'
loop_
_atom_site_label
_atom_site_fract_x
_atom_site_fract_y
_atom_site_fract_z
Pr1 0.000 0.500 0.235
Mg1 0.000 0.000 0.500
Ga1 0.000 0.000 0.000
Ga2 0.000 0.500 0.647
Ga3 0.500 0.500 0.000
Pd1 0.000 0.500 0.873
Pd2 0.500 0.500 0.500

Which value of final energy does entry 4 give?
-68.0 eV for the cell shown

Which of these has the lowest final energy?
PmMgGa2Pd4